Entry 1:
The following is a DFT calculation (PBE) of MgSc2Ir3 after structural relaxation.

Properties
The formation energy from the elements comes out at -0.83 eV per atom. The value obtained for the magnetic moment is 0.0 Bohr magnetons per cell. For the final energy, the calculation gives -7.634 eV per atom.

a b c (Å): 4.5107 13.5287 3.1963
angles (deg): 90.00 90.00 90.00
With the nearest neighbours (Å) after each atom.
Space group Cmmm (No. 65)
Asymmetric unit:
Mg  0.0000  0.0000  0.0000 (multiplicity 2)  8 Ir 2.76-2.77
Sc  0.0000  0.3363  0.0000 (multiplicity 4)  8 Ir 2.73-2.79
Ir  0.0000  0.1671  0.5000 (multiplicity 4)  6 Sc 2.76-2.79, 2 Mg 2.77
Ir  0.0000  0.5000  0.5000 (multiplicity 2)  4 Sc 2.73, 4 Mg 2.76



Entry 2:
The following is a DFT calculation (PBE) of Sr2CdSi3 after structural relaxation.

Properties
The value obtained for the magnetic moment is 0.0 Bohr magnetons per cell. For the final energy, the calculation gives -3.765 eV per atom.

a b c (Å): 4.1262 4.6915 15.1253
angles (deg): 90.00 90.00 90.00
With the nearest neighbours (Å) after each atom.
Space group Imm2 (No. 44)
Asymmetric unit:
Sr  0.0000  0.0000  0.0000 (multiplicity 2)  8 Si 3.35-3.42, 4 Cd 3.44
Sr  0.0000  0.5000  0.2686 (multiplicity 2)  10 Si 3.29-3.40, 2 Cd 3.34
Cd  0.0000  0.0000  0.5947 (multiplicity 2)  3 Si 2.63-2.68
Si  0.0000  0.0000  0.4208 (multiplicity 2)  2 Si 2.43, 1 Cd 2.63
Si  0.0000  0.5000  0.6801 (multiplicity 2)  1 Si 2.35
Si  0.0000  0.5000  0.8358 (multiplicity 2)  3 Si 2.35-2.43



Entry 3:
The following is a DFT calculation (PBE) of CaTeSe2N after structural relaxation.

Properties
The value obtained for the magnetic moment is 0.0 Bohr magnetons per cell. For the final energy, the calculation gives -4.072 eV per atom. For the energy above the most stable polymorph in this dataset, the calculation gives 0.0000 eV per atom.

a b c (Å): 5.4472 5.4472 4.0211
angles (deg): 90.00 90.00 90.00
With the nearest neighbours (Å) after each atom.
Space group P4/mmm (No. 123)
Asymmetric unit:
Ca  0.0000  0.0000  0.0000 (multiplicity 1)  8 Se 3.39
Te  0.5000  0.5000  0.5000 (multiplicity 1)  2 N 2.01
Se  0.0000  0.5000  0.5000 (multiplicity 2)  2 Te 2.72
N  0.5000  0.5000  0.0000 (multiplicity 1)  2 Te 2.01



Entry 4:
The following is a DFT calculation (PBE) of Cs5Sb2Br12 after structural relaxation.

Properties
The value obtained for the magnetic moment is 2.2 Bohr magnetons per cell. For the final energy, the calculation gives -2.879 eV per atom. For the energy above the most stable polymorph in this dataset, the calculation gives 0.0699 eV per atom.

a b c (Å): 19.9292 8.3084 11.9676
angles (deg): 90.00 108.31 90.00
With the nearest neighbours (Å) after each atom.
Space group C2/m (No. 12)
Asymmetric unit:
Cs  0.0000  0.0000  0.0000 (multiplicity 2)  6 Br 3.62-3.99
Cs  0.1919  0.5000  0.3423 (multiplicity 4)  7 Br 3.58-3.85
Cs  0.2019  0.5000  0.8539 (multiplicity 4)  7 Br 3.63-3.88
Sb  0.0000  0.2490  0.5000 (multiplicity 4)  6 Br 2.78-2.90
Br  0.0035  0.0000  0.6681 (multiplicity 4)  2 Sb 2.87
Br  0.0033  0.5000  0.6702 (multiplicity 4)  2 Sb 2.90
Br  0.1471  0.2535  0.5702 (multiplicity 8)  1 Sb 2.78
Br  0.1472  0.2782  0.0723 (multiplicity 8)  4 Cs 3.58-3.67, 1 Br 3.69



Entry 5:
The following is a DFT calculation (PBE) of MgRu2Se after structural relaxation.

Properties
The value obtained for the magnetic moment is 0.0 Bohr magnetons per cell. For the final energy, the calculation gives -5.634 eV per atom. For the energy above the most stable polymorph in this dataset, the calculation gives 0.2381 eV per atom.

a b c (Å): 5.6526 8.6783 2.8860
angles (deg): 90.00 118.78 90.00
With the nearest neighbours (Å) after each atom.
Space group C2/m (No. 12)
Asymmetric unit:
Mg  0.0000  0.0000  0.0000 (multiplicity 2)  4 Ru 2.61, 4 Se 2.83-2.91, 2 Mg 2.89
Ru  0.2500  0.2500  0.5000 (multiplicity 4)  2 Se 2.61, 2 Mg 2.61, 6 Ru 2.83-2.91
Se  0.0000  0.5000  0.0000 (multiplicity 2)  4 Ru 2.61, 4 Mg 2.83-2.91, 2 Se 2.89



Entry 6:
The following is a DFT calculation (PBE) of Al3Re after structural relaxation.

Properties
The formation energy from the elements comes out at -0.12 eV per atom. The value obtained for the magnetic moment is 3.1 Bohr magnetons per cell. For the final energy, the calculation gives -6.035 eV per atom.

a b c (Å): 3.8060 3.8060 16.4066
angles (deg): 90.00 90.00 90.00
With the nearest neighbours (Å) after each atom.
Space group I4/mmm (No. 139)
Asymmetric unit:
Al  0.0000  0.0000  0.1206 (multiplicity 4)  4 Re 2.70, 8 Al 2.75-2.85
Al  0.0000  0.5000  0.0000 (multiplicity 4)  8 Al 2.69-2.75, 4 Re 2.87
Al  0.0000  0.5000  0.2500 (multiplicity 4)  8 Al 2.69-2.85, 4 Re 2.73
Re  0.0000  0.0000  0.3689 (multiplicity 4)  12 Al 2.70-2.87



Entry 7:
The following is a DFT calculation (PBE) of Sr3CdHg3 after structural relaxation.

Properties
The formation energy from the elements comes out at -0.46 eV per atom. The value obtained for the magnetic moment is 0.0 Bohr magnetons per cell. For the final energy, the calculation gives -1.439 eV per atom. For the energy above the most stable polymorph in this dataset, the calculation gives 0.0000 eV per atom.

a b c (Å): 12.6246 4.7044 16.3603
angles (deg): 90.00 109.35 90.00
With the nearest neighbours (Å) after each atom.
Space group C2/m (No. 12)
Asymmetric unit:
Sr  0.0238  0.0000  0.3846 (multiplicity 4)  6 Hg 3.41-3.46, 3 Cd 3.49-3.75
Sr  0.1101  0.0000  0.9230 (multiplicity 4)  7 Hg 3.44-3.69
Sr  0.2395  0.0000  0.2321 (multiplicity 4)  6 Hg 3.43-3.65, 2 Cd 3.61
Cd  0.2326  0.5000  0.3973 (multiplicity 4)  4 Hg 2.90-3.13
Hg  0.0181  0.5000  0.2323 (multiplicity 4)  1 Cd 3.13, 1 Hg 3.16, 4 Sr 3.41-3.45
Hg  0.1152  0.5000  0.0773 (multiplicity 4)  2 Hg 3.16, 5 Sr 3.43-3.47
Hg  0.1283  0.5000  0.5463 (multiplicity 4)  3 Cd 2.90-3.13, 1 Hg 3.09



Entry 8:
The following is a DFT calculation (PBE) of SiBr3 after structural relaxation.

Properties
The value obtained for the magnetic moment is 0.0 Bohr magnetons per cell. For the final energy, the calculation gives -2.077 eV per atom. For the energy above the most stable polymorph in this dataset, the calculation gives 1.2882 eV per atom.

a b c (Å): 4.9179 4.9179 4.1431
angles (deg): 90.00 90.00 90.00
With the nearest neighbours (Å) after each atom.
Space group P4/mmm (No. 123)
Asymmetric unit:
Si  0.0000  0.0000  0.0000 (multiplicity 1)  12 Br 3.22-3.48
Br  0.0000  0.5000  0.5000 (multiplicity 2)  8 Br 3.22-3.48, 4 Si 3.22
Br  0.5000  0.5000  0.0000 (multiplicity 1)  8 Br 3.22, 4 Si 3.48